# 1
DFT (GGA-PBE) results for a relaxed Pu3Rh5 crystal.

The total energy comes out at -83.38 eV/cell. The crystal system is orthorhombic. The density of states at the Fermi level comes out at 2.63 states/eV per atom. The density comes out at 14.1 g/cm³.

Lattice parameters (Å, degrees): 4.4395 5.8282 5.8282 103.87 90.00 90.00
Closest atoms and distances in Å follow each position.
Element x y z (fractional)
Pu: 0.0000 0.5000 0.5000  8 Rh 2.69-2.91
Pu: 0.5000 0.7962 0.2038  10 Rh 2.79-3.11
Pu: 0.5000 0.2038 0.7962  10 Rh 2.79-3.11
Rh: 0.0000 0.0000 0.0000  4 Pu 2.90, 8 Rh 2.91-3.04
Rh: 0.0000 0.5000 0.0000  6 Pu 2.89-2.91, 6 Rh 2.91-3.20
Rh: 0.0000 0.0000 0.5000  6 Pu 2.89-2.91, 6 Rh 2.91-3.20
Rh: 0.5000 0.7117 0.7117  4 Pu 2.69-2.79
Rh: 0.5000 0.2883 0.2883  4 Pu 2.69-2.79

***

# 2
DFT (GGA-PBE) results for a relaxed CdAg2Sb crystal.

The total energy comes out at -10.25 eV/cell. The crystal system is trigonal. The density of states at the Fermi level comes out at 0.62 states/eV per atom. Its formation energy from raw total energies is 0.5 eV/f.u. The density comes out at 8.6 g/cm³. Its distance to the lowest polymorph of the same formula is 0.310 eV/f.u.

Lattice parameters (Å, degrees): 9.4117 9.4117 9.4117 20.23 20.23 20.23
Closest atoms and distances in Å follow each position.
Element x y z (fractional)
Sb: 0.7461 0.7461 0.7461  3 Ag 2.98, 3 Cd 3.19, 6 Sb 3.31
Ag: 0.9965 0.9965 0.9965  3 Ag 2.88, 3 Sb 2.98
Ag: 0.2521 0.2521 0.2521  3 Ag 2.88, 3 Cd 2.92
Cd: 0.5053 0.5053 0.5053  3 Ag 2.92, 3 Sb 3.19

***

# 3
DFT (GGA-PBE) results for a relaxed HfAlGa4 crystal.

The total energy comes out at -46.59 eV/cell. The crystal system is tetragonal. The density of states at the Fermi level comes out at 0.63 states/eV per atom. The density comes out at 5.5 g/cm³. Its distance to the lowest polymorph of the same formula is 3.662 eV/f.u.

Lattice parameters (Å, degrees): 7.2670 7.2670 7.2670 107.25 107.25 114.00
Closest atoms and distances in Å follow each position.
Element x y z (fractional)
Hf: 0.1995 0.1995 0.0000  6 Ga 2.73-2.93, 1 Al 3.04
Hf: 0.9495 0.4495 0.5000  6 Ga 2.73-2.93, 1 Al 3.04
Al: 0.8151 0.8151 0.0000  4 Ga 2.35-2.43
Al: 0.5651 0.0651 0.5000  4 Ga 2.35-2.43
Ga: 0.2682 0.9338 0.6656  1 Al 2.75, 1 Ga 2.86, 2 Hf 2.90-2.93
Ga: 0.7245 0.4651 0.7405  2 Al 2.35-2.43
Ga: 0.6838 0.5182 0.1656  1 Al 2.75, 1 Ga 2.86, 2 Hf 2.90-2.93
Ga: 0.2151 0.9745 0.2405  2 Al 2.35-2.43
Ga: 0.3525 0.5182 0.8344  1 Al 2.75, 1 Ga 2.86, 2 Hf 2.90-2.93
Ga: 0.7340 0.9745 0.7595  2 Al 2.35-2.43
Ga: 0.7245 0.9840 0.2595  2 Al 2.35-2.43
Ga: 0.2682 0.6025 0.3344  1 Al 2.75, 1 Ga 2.86, 2 Hf 2.90-2.93